This record from the Alexandria database describes LaYNi10 at its PBEsol-relaxed geometry. The functional is meta-GGA SCAN.

Values from the calculation:
Symmetry = Pmmm, No. 47
Total magnetization = 3.795 μB per cell
Calculated formation energy = -321 kJ/mol of formula units
N(E_F) = 7.596 states/eV per cell

Cell: 3.9088 4.8516 8.4125 Å, 90.00 90.00 90.00°
Last column: nearest neighbours and their distance in Å.
Fractional positions:
1 La 0.0000 0.0000 0.0000  18 Ni 2.82-3.15
2 Y 0.0000 0.5000 0.5000  14 Ni 2.77-3.08
3 Ni 0.0000 0.0000 0.3363  6 Ni 2.39-2.41
4 Ni 0.0000 0.0000 0.6637  6 Ni 2.39-2.41
5 Ni 0.0000 0.5000 0.1702  6 Ni 2.40-2.42
6 Ni 0.0000 0.5000 0.8298  6 Ni 2.40-2.42
7 Ni 0.5000 0.0000 0.5000  8 Ni 2.39-2.40
8 Ni 0.5000 0.2530 0.2554  8 Ni 2.40-2.46
9 Ni 0.5000 0.2530 0.7446  8 Ni 2.40-2.46
10 Ni 0.5000 0.5000 0.0000  8 Ni 2.42-2.46
11 Ni 0.5000 0.7470 0.2554  8 Ni 2.40-2.46
12 Ni 0.5000 0.7470 0.7446  8 Ni 2.40-2.46